VASP calculation (meta-GGA SCAN) on CsMnP3HO10 at its PBEsol-relaxed geometry.

Values from the calculation:
total magnetic moment: 8.00 μB/cell

a b c (Å): 9.0108 8.6224 6.5335
angles (deg): 90.00 113.34 90.00
Last column: nearest neighbours and their distance in Å.
Space group C2 (No. 5)
Asymmetric unit:
Cs: 0.0000 0.0000 0.0000  8 O 3.10-3.43
Mn: 0.0000 0.3318 0.5000  4 O 1.91
P: 0.0000 0.4304 0.0000  4 O 1.50-1.61
P: 0.1771 0.6166 0.3932  4 O 1.51-1.62
H: 0.0000 0.7513 0.5000  2 O 1.20
O: 0.0537 0.7463 0.3582  1 H 1.20
O: 0.0646 0.3414 0.8559  1 P 1.50
O: 0.1423 0.5467 0.1482  2 P 1.61-1.62
O: 0.1479 0.1678 0.5191  1 P 1.51
O: 0.1625 0.4849 0.5419  1 P 1.53



VASP calculation (meta-GGA SCAN) on Cs3MoH at its PBEsol-relaxed geometry.

Values from the calculation:
D(E_F): 1.7 states/eV/cell
total magnetic moment: 6.00 μB/cell

a b c (Å): 5.9950 5.9950 5.9950
angles (deg): 90.00 90.00 90.00
Last column: nearest neighbours and their distance in Å.
Space group Pm-3m (No. 221)
Asymmetric unit:
Cs: 0.0000 0.0000 0.5000  2 H 3.00
Mo: 0.5000 0.5000 0.5000  12 Cs 4.24
H: 0.0000 0.0000 0.0000  6 Cs 3.00



VASP calculation (meta-GGA SCAN) on CsMoP2HO9 at its PBEsol-relaxed geometry.

Values from the calculation:
D(E_F): 0.0 states/eV/cell
total magnetic moment: 0.00 μB/cell

a b c (Å): 6.2847 14.0058 10.0263
angles (deg): 90.00 100.39 90.00
Last column: nearest neighbours and their distance in Å.
Space group P2_1/c (No. 14)
Asymmetric unit:
Cs: 0.1967 0.1621 0.3621  7 O 3.08-3.28
Mo: 0.2948 0.0451 0.7261  2 O 1.70
P: 0.1860 0.5960 0.7033  4 O 1.50-1.60
P: 0.3915 0.6294 0.4746  4 O 1.51-1.63
H: 0.2943 0.7309 0.8748  1 O 1.07
O: 0.0104 0.0332 0.7843  1 P 1.54
O: 0.1754 0.6966 0.7534  1 H 1.39, 1 P 1.50
O: 0.1876 0.5969 0.5436  2 P 1.60-1.63
O: 0.2337 0.5160 0.0782  1 Mo 1.70
O: 0.2578 0.1608 0.6740  1 Mo 1.70
O: 0.3486 0.5869 0.3336  1 P 1.51
O: 0.3844 0.7399 0.4665  1 H 1.07
O: 0.3871 0.5392 0.7716  1 P 1.54
O: 0.4040 0.0989 0.9316  1 P 1.51



VASP calculation (meta-GGA SCAN) on CsH2N at its PBEsol-relaxed geometry.

Values from the calculation:
D(E_F): 0.0 states/eV/cell
total magnetic moment: 0.01 μB/cell

a b c (Å): 4.1536 4.4544 4.5083
angles (deg): 77.87 69.99 71.24
Last column: nearest neighbours and their distance in Å.
Space group P1 (No. 1)
Asymmetric unit:
Cs: 0.0000 0.0000 0.0000  4 N 2.94-3.29, 6 H 3.04-3.23
H: 0.3612 0.4494 0.4714  1 N 1.04
H: 0.6622 0.5340 0.5640  1 N 1.04
N: 0.5104 0.3730 0.6296  2 H 1.04



VASP calculation (meta-GGA SCAN) on CsNaH2 at its PBEsol-relaxed geometry.

Values from the calculation:
D(E_F): 0.0 states/eV/cell
total magnetic moment: 0.00 μB/cell

a b c (Å): 6.7205 6.7205 7.8662
angles (deg): 90.00 90.00 90.00
Last column: nearest neighbours and their distance in Å.
Space group I-42d (No. 122)
Asymmetric unit:
Cs: 0.0000 0.0000 0.0000  4 H 3.01
Na: 0.0000 0.0000 0.5000  4 H 2.22
H: 0.1588 0.2500 0.6250  2 Na 2.22



VASP calculation (meta-GGA SCAN) on Cs3NiH at its PBEsol-relaxed geometry.

Values from the calculation:
D(E_F): 0.1 states/eV/cell
total magnetic moment: 0.00 μB/cell

a b c (Å): 6.1219 6.1219 6.1219
angles (deg): 90.00 90.00 90.00
Last column: nearest neighbours and their distance in Å.
Space group Pm-3m (No. 221)
Asymmetric unit:
Cs: 0.0000 0.0000 0.5000  2 Ni 3.06
Ni: 0.0000 0.0000 0.0000  6 Cs 3.06
H: 0.5000 0.5000 0.5000  12 Cs 4.33



Number 1: electronic total energy -11.892 eV per atom. Number 2: electronic total energy -29.614 eV per atom. Number 3: electronic total energy -13.179 eV per atom. Number 4: electronic total energy -13.917 eV per atom. Number 5: electronic total energy -12.466 eV per atom. Number 6: electronic total energy -26.058 eV per atom.